Arrangement a

DFT (PBEsol) results for a relaxed KSc2Co crystal.

Its space-group type is No. 166. The value obtained for the total moment is 0.41 μB/f.u.

a b c (Å): 3.1464 3.1464 11.2019
angles (deg): 81.93 81.93 60.00
With the nearest neighbours (Å) after each atom.
Fractional coordinates of all 4 atoms:
Sc1 0.9337 0.9337 0.1990  1 Co 2.20
Sc2 0.0663 0.0663 0.8010  1 Co 2.20
K1 0.5000 0.5000 0.5000  6 K 3.15
Co1 0.0000 0.0000 0.0000  2 Sc 2.20

Arrangement b

DFT (PBEsol) results for a relaxed KSc2Co crystal.

Its space-group type is No. 166. The value obtained for the total moment is 0.00 μB/f.u.

a b c (Å): 3.6371 3.6371 10.2231
angles (deg): 79.75 79.75 60.00
With the nearest neighbours (Å) after each atom.
Fractional coordinates of all 4 atoms:
Sc1 0.8760 0.8760 0.3719  3 Co 2.46
Sc2 0.1240 0.1240 0.6281  3 Co 2.46
K1 0.0000 0.0000 0.0000  6 K 3.64, 2 Sc 3.72
Co1 0.5000 0.5000 0.5000  6 Sc 2.46

Arrangement c

DFT (PBEsol) results for a relaxed KSc2Co crystal.

Its space-group type is No. 166. The value obtained for the total moment is 0.00 μB/f.u.

a b c (Å): 3.7069 3.7069 9.5282
angles (deg): 78.78 78.78 60.00
With the nearest neighbours (Å) after each atom.
Fractional coordinates of all 4 atoms:
Co1 0.5000 0.5000 0.5000  6 Sc 2.47
K1 0.0000 0.0000 0.0000  6 K 3.71, 6 Sc 4.02
Sc1 0.2110 0.2110 0.3671  3 Co 2.47
Sc2 0.7890 0.7890 0.6329  3 Co 2.47

Sorted by energy, starting with the most stable: arrangement c, arrangement b, arrangement a.

Arrangement a

DFT (PBEsol) results for a relaxed KTaCo2 crystal.

Its space-group type is No. 216. The value obtained for the total moment is 2.01 μB/f.u.

a b c (Å): 4.3746 4.3746 4.3746
angles (deg): 60.00 60.00 60.00
With the nearest neighbours (Å) after each atom.
Fractional coordinates of all 4 atoms:
Co1 0.0000 0.0000 0.0000  4 Co 2.68, 4 Ta 2.68
Co2 0.7500 0.7500 0.7500  4 K 2.68, 4 Co 2.68
K1 0.5000 0.5000 0.5000  4 Co 2.68, 4 Ta 2.68
Ta1 0.2500 0.2500 0.2500  4 K 2.68, 4 Co 2.68

Arrangement b

DFT (PBEsol) results for a relaxed KTaCo2 crystal.

Its space-group type is No. 123. The value obtained for the total moment is 0.00 μB/f.u.

a b c (Å): 3.0060 3.0060 7.8110
angles (deg): 90.00 90.00 90.00
With the nearest neighbours (Å) after each atom.
Fractional coordinates of all 4 atoms:
Co1 0.0000 0.0000 0.6723  4 Ta 2.52, 1 Co 2.69
Co2 0.0000 0.0000 0.3277  4 Ta 2.52, 1 Co 2.69
K1 0.5000 0.5000 0.0000  4 K 3.01, 8 Co 3.33
Ta1 0.5000 0.5000 0.5000  8 Co 2.52

Sorted by energy, starting with the most stable: arrangement b, arrangement a.